VASP calculation (PBE) on crystalline Ba2NaCaIr at its relaxed geometry.

abc: 6.2007 6.2007 5.6586
angles: 90.00 90.00 90.00
Fractional coordinates of all 5 atoms:
Na (0.5000, 0.5000, 0.5000)
Ca (0.0000, 0.0000, 0.5000)
Ir (0.0000, 0.0000, 0.0000)
Ba (0.0000, 0.5000, 0.0000)
Ba (0.5000, 0.0000, 0.0000)

Calculated values
- energy (eV/cell) = -16.658
- M_tot (Bohr magnetons per cell) = 0.0


VASP calculation (PBE) on crystalline BaCaIrO6 at its relaxed geometry.

abc: 5.6831 5.6831 5.5399
angles: 90.00 90.00 59.99
Site moments in Bohr magnetons follow the coordinates.
Fractional coordinates of all 9 atoms:
Ba (0.0000, 0.0000, 0.0000)  0.01
Ca (0.6666, 0.6666, 0.5000)  0.01
Ir (0.3333, 0.3333, 0.5000)  0.46
O (0.0547, 0.3446, 0.3032)  0.06
O (0.3447, 0.0547, 0.6968)  0.06
O (0.6005, 0.3448, 0.6968)  0.06
O (0.0545, 0.6007, 0.6967)  0.06
O (0.3447, 0.6006, 0.3032)  0.06
O (0.6008, 0.0546, 0.3033)  0.06

Calculated values
- energy (eV/cell) = -56.641
- M_tot (Bohr magnetons per cell) = 1.0
- raw formation energy (meV/atom) = -1567


M_tot of number 2 (BaCaIrO6)?
1.0 Bohr magnetons per cell


Which value of energy does entry 2 give?
-56.641 eV/cell


Among the records above, which one has the lowest energy?
BaCaIrO6